Record 1
A relaxed AlCu2Hg crystal, computed with GGA-PBE.

a b c (Å): 4.5770 6.5225 2.9828
angles (deg): 62.88 89.94 124.33
Last column: nearest neighbours and their distance in Å.
Fractional coordinates of all 4 atoms:
Cu 0.0000 0.5000 0.5000  4 Al 2.73, 4 Hg 2.73, 4 Cu 2.90-2.98
Al 0.5000 0.0000 0.5000  8 Cu 2.73, 2 Hg 2.90, 2 Al 2.98
Cu 0.0000 0.0000 0.0000  4 Hg 2.73, 4 Al 2.73, 4 Cu 2.90-2.98
Hg 0.5000 0.5000 0.0000  8 Cu 2.73, 2 Al 2.90, 2 Hg 2.98

Computed properties:
* energy of formation from the pure elements: 83 meV/atom
* calculated volume: 61.3 Å³ per cell
* relative energy among the computed polymorphs: 78 meV/atom
* spin magnetization: 0.000 μB per formula unit
* space-group type: Cmmm, No. 65
* total energy: -2.976 eV per atom

=====

Record 2
A relaxed Al2CuHg crystal, computed with GGA-PBE.

a b c (Å): 4.1615 4.1615 9.1742
angles (deg): 76.89 76.89 90.00
Last column: nearest neighbours and their distance in Å.
Fractional coordinates of all 8 atoms:
Al 0.3750 0.4088 0.7500  2 Cu 2.57, 2 Hg 2.68, 2 Al 2.75
Hg 0.0000 0.0000 0.0000  4 Al 2.68, 4 Cu 2.94
Hg 0.7500 0.2500 0.5000  4 Al 2.68, 4 Cu 2.94
Cu 0.5000 0.5000 0.0000  4 Al 2.57
Al 0.8750 0.8412 0.7500  2 Cu 2.57, 2 Hg 2.68, 2 Al 2.75
Al 0.5912 0.1250 0.2500  2 Cu 2.57, 2 Hg 2.68, 2 Al 2.75
Cu 0.2500 0.7500 0.5000  4 Al 2.57
Al 0.1588 0.6250 0.2500  2 Cu 2.57, 2 Hg 2.68, 2 Al 2.75

Computed properties:
* energy of formation from the pure elements: 165 meV/atom
* calculated volume: 150.5 Å³ per cell
* spin magnetization: 0.000 μB per formula unit
* space-group type: I-42d, No. 122
* total energy: -2.806 eV per atom

=====

Record 3
A relaxed AlCu2Hg crystal, computed with GGA-PBE.

a b c (Å): 4.8102 4.8102 4.8102
angles (deg): 131.82 131.82 70.51
Last column: nearest neighbours and their distance in Å.
Fractional coordinates of all 4 atoms:
Cu 0.0000 0.0000 0.0000  4 Hg 2.78, 4 Al 2.78, 4 Cu 2.78
Al 0.7500 0.2500 0.5000  8 Cu 2.78, 4 Hg 2.78
Hg 0.5000 0.5000 0.0000  8 Cu 2.78, 4 Al 2.78
Cu 0.2500 0.7500 0.5000  4 Al 2.78, 4 Hg 2.78, 4 Cu 2.78

Computed properties:
* energy of formation from the pure elements: 78 meV/atom
* calculated volume: 60.6 Å³ per cell
* relative energy among the computed polymorphs: 73 meV/atom
* spin magnetization: 0.000 μB per formula unit
* space-group type: I-4m2, No. 119
* total energy: -2.981 eV per atom

=====

Record 4
A relaxed AlCu2Hg crystal, computed with GGA-PBE.

a b c (Å): 4.6845 4.6845 4.7299
angles (deg): 78.39 78.39 37.93
Last column: nearest neighbours and their distance in Å.
Fractional coordinates of all 4 atoms:
Hg 0.5016 0.5016 0.4897  7 Cu 2.71-2.84, 3 Al 2.78-2.90
Cu 0.9996 0.9996 0.9967  3 Al 2.62-2.69, 3 Cu 2.64-2.74, 4 Hg 2.79-2.84
Al 0.7381 0.7381 0.7941  5 Cu 2.56-2.69, 1 Hg 2.78
Cu 0.2607 0.2607 0.2195  2 Al 2.56, 3 Cu 2.64-2.74, 3 Hg 2.71-2.82

Computed properties:
* energy of formation from the pure elements: 80 meV/atom
* calculated volume: 62.3 Å³ per cell
* relative energy among the computed polymorphs: 74 meV/atom
* spin magnetization: 0.000 μB per formula unit
* space-group type: Cm, No. 8
* total energy: -2.979 eV per atom

=====

Record 5
A relaxed AlCu2Hg crystal, computed with GGA-PBE.

a b c (Å): 4.3347 2.9510 4.7955
angles (deg): 89.72 90.00 90.00
Last column: nearest neighbours and their distance in Å.
Fractional coordinates of all 4 atoms:
Hg 0.0000 0.6241 0.4533  8 Cu 2.77-2.82, 2 Al 2.82, 2 Hg 2.95
Cu 0.5000 0.1234 0.2654  2 Al 2.56, 2 Cu 2.64, 4 Hg 2.77-2.78
Cu 0.0000 0.1258 0.9526  4 Cu 2.64-2.95, 4 Al 2.69, 4 Hg 2.80-2.82
Al 0.5000 0.6267 0.8287  6 Cu 2.56-2.69, 2 Hg 2.82

Computed properties:
* energy of formation from the pure elements: 31 meV/atom
* calculated volume: 61.3 Å³ per cell
* relative energy among the computed polymorphs: 25 meV/atom
* spin magnetization: 0.000 μB per formula unit
* space-group type: Pm, No. 6
* total energy: -3.028 eV per atom

=====

Record 6
A relaxed AlCu2Hg2 crystal, computed with GGA-PBE.

a b c (Å): 6.6141 6.6141 4.0175
angles (deg): 90.00 90.00 90.00
Last column: nearest neighbours and their distance in Å.
Fractional coordinates of all 10 atoms:
Al 0.0000 0.0000 0.0000  4 Cu 2.56
Cu 0.6375 0.1375 0.0000  2 Al 2.56, 1 Cu 2.57, 6 Hg 2.71-2.85
Hg 0.3325 0.1675 0.5000  6 Cu 2.71-2.85
Cu 0.8625 0.6375 0.0000  2 Al 2.56, 1 Cu 2.57, 6 Hg 2.71-2.85
Al 0.5000 0.5000 0.0000  4 Cu 2.56
Cu 0.1375 0.3625 0.0000  2 Al 2.56, 1 Cu 2.57, 6 Hg 2.71-2.85
Hg 0.6675 0.8325 0.5000  6 Cu 2.71-2.85
Hg 0.1675 0.6675 0.5000  6 Cu 2.71-2.85
Cu 0.3625 0.8625 0.0000  2 Al 2.56, 1 Cu 2.57, 6 Hg 2.71-2.85
Hg 0.8325 0.3325 0.5000  6 Cu 2.71-2.85

Computed properties:
* energy of formation from the pure elements: 165 meV/atom
* calculated volume: 175.8 Å³ per cell
* spin magnetization: 0.000 μB per formula unit
* space-group type: P4/mbm, No. 127
* total energy: -2.343 eV per atom

=====

Number 1: N(E_F) 1.31 states/eV per cell. Number 2: N(E_F) 3.10 states/eV per cell. Number 3: N(E_F) 1.07 states/eV per cell. Number 4: N(E_F) 1.38 states/eV per cell. Number 5: N(E_F) 0.76 states/eV per cell. Number 6: N(E_F) 3.38 states/eV per cell.